Entry 1:
DFT (PBE) results for an optimized crystal structure of NaGaHg2F8.

Computed properties:
Fermi-level density of states in states/eV per cell: 0.00
Symmetry: P-1
Uncorrected energy in eV per cell: -44.6

a = 5.069 Å, b = 5.168 Å, c = 7.052 Å
α = 90.02°, β = 90.06°, γ = 90.34°
Positions (direct):
Na 0.000 0.000 0.500
Ga 0.000 0.000 0.000
Hg 0.500 0.501 0.753
Hg 0.500 0.499 0.247
F 0.187 0.832 0.201
F 0.735 0.717 0.000
F 0.814 0.169 0.201
F 0.813 0.168 0.799
F 0.265 0.283 0.000
F 0.186 0.831 0.799
F 0.706 0.686 0.500
F 0.294 0.314 0.500

Entry 2:
DFT (PBE) results for an optimized crystal structure of Zn2NiMo.

Computed properties:
E_form in eV per atom: 0.04
Fermi-level density of states in states/eV per cell: 2.69
Symmetry: Pmm2
Energy above the lowest structure with this stoichiometry in meV per atom: 97.3

a = 2.652 Å, b = 3.704 Å, c = 5.597 Å
α = 90.00°, β = 90.00°, γ = 90.00°
Positions (direct):
Mo 0.000 0.000 0.518
Ni 0.500 0.500 0.745
Zn 0.000 0.000 0.997
Zn 0.500 0.500 0.240

Entry 3:
DFT (PBE) results for an optimized crystal structure of Dy2Te4Pb.

Computed properties:
Symmetry: C2/m
Uncorrected energy in eV per cell: -33.2

a = 4.428 Å, b = 7.657 Å, c = 8.941 Å
α = 117.13°, β = 104.34°, γ = 90.00°
Positions (direct):
Dy 0.739 0.755 0.479
Dy 0.261 0.245 0.521
Te 0.871 0.204 0.743
Te 0.129 0.796 0.257
Te 0.642 0.296 0.284
Te 0.358 0.704 0.716
Pb 0.000 0.000 0.000

Entry 4:
DFT (PBE) results for an optimized crystal structure of AsPdRhBr2.

Computed properties:
Fermi-level density of states in states/eV per cell: 7.74
Symmetry: P4/mmm
Energy above the lowest structure with this stoichiometry in meV per atom: 0.0

a = 5.191 Å, b = 5.191 Å, c = 4.611 Å
α = 90.00°, β = 90.00°, γ = 90.00°
Positions (direct):
As 0.000 0.000 0.500
Rh 0.000 0.000 0.000
Br 0.000 0.500 0.000
Br 0.500 0.000 0.000
Pd 0.500 0.500 0.500

Entry 5:
DFT (PBE) results for an optimized crystal structure of KCeGd2.

Computed properties:
E_form in eV per atom: 0.74
Fermi-level density of states in states/eV per cell: 8.15
Symmetry: R-3m

a = 4.203 Å, b = 4.203 Å, c = 11.010 Å
α = 78.99°, β = 78.99°, γ = 60.00°
Positions (direct):
K 0.000 0.000 0.000
Gd 0.118 0.118 0.646
Gd 0.882 0.882 0.354
Ce 0.500 0.500 0.500

Entry 6:
DFT (PBE) results for an optimized crystal structure of CsBaLi2.

Computed properties:
E_form in eV per atom: 0.14
Fermi-level density of states in states/eV per cell: 3.64
Symmetry: P4/mmm
Energy above the lowest structure with this stoichiometry in meV per atom: 0.0

a = 4.726 Å, b = 4.726 Å, c = 9.366 Å
α = 90.00°, β = 90.00°, γ = 90.00°
Positions (direct):
Cs 0.500 0.500 0.500
Ba 0.500 0.500 0.000
Li 0.000 0.000 0.812
Li 0.000 0.000 0.188

Entry 7:
DFT (PBE) results for an optimized crystal structure of Ce6AlGa3.

Computed properties:
E_form in eV per atom: -0.19
Fermi-level density of states in states/eV per cell: 49.05
Symmetry: R-3

a = 8.112 Å, b = 8.112 Å, c = 8.112 Å
α = 80.59°, β = 80.59°, γ = 80.59°
Positions (direct):
Ce 0.324 0.922 0.230
Ce 0.078 0.770 0.676
Ce 0.552 0.844 0.469
Ce 0.770 0.676 0.078
Ce 0.469 0.552 0.844
Ce 0.156 0.531 0.448
Ce 0.844 0.469 0.552
Ce 0.531 0.448 0.156
Ce 0.230 0.324 0.922
Ce 0.448 0.156 0.531
Ce 0.922 0.230 0.324
Ce 0.676 0.078 0.770
Al 0.000 0.000 0.000
Al 0.500 0.500 0.500
Ga 0.332 0.933 0.846
Ga 0.933 0.846 0.332
Ga 0.154 0.668 0.067
Ga 0.846 0.332 0.933
Ga 0.067 0.154 0.668
Ga 0.668 0.067 0.154

Entry 8:
DFT (PBE) results for an optimized crystal structure of LiErPa2S4.

Computed properties:
Fermi-level density of states in states/eV per cell: 7.75
Symmetry: P2/m
Uncorrected energy in eV per cell: -55.1

a = 3.733 Å, b = 6.423 Å, c = 7.040 Å
α = 107.82°, β = 90.00°, γ = 90.00°
Positions (direct):
Li 0.000 0.000 0.000
Er 0.500 0.500 0.000
Pa 0.500 0.000 0.500
Pa 0.000 0.500 0.500
S 0.500 0.238 0.233
S 0.500 0.762 0.767
S 0.000 0.247 0.765
S 0.000 0.753 0.235

Entry 9:
DFT (PBE) results for an optimized crystal structure of TaAlMoPb2.

Computed properties:
E_form in eV per atom: 1.40
Fermi-level density of states in states/eV per cell: 3.69
Symmetry: P4/mmm

a = 5.518 Å, b = 5.162 Å, c = 5.518 Å
α = 90.00°, β = 90.00°, γ = 90.00°
Positions (direct):
Pb 0.000 0.000 0.500
Pb 0.500 0.000 0.000
Mo 0.500 0.500 0.500
Al 0.000 0.500 0.000
Ta 0.000 0.000 0.000

Entry 10:
DFT (PBE) results for an optimized crystal structure of Er2RhF.

Computed properties:
Fermi-level density of states in states/eV per cell: 1.55
Symmetry: R-3m
Uncorrected energy in eV per cell: -24.7

a = 3.868 Å, b = 3.868 Å, c = 6.642 Å
α = 73.07°, β = 73.07°, γ = 60.00°
Positions (direct):
F 0.000 0.000 0.000
Rh 0.500 0.500 0.500
Er 0.751 0.751 0.748
Er 0.249 0.249 0.252

Entry 11:
DFT (PBE) results for an optimized crystal structure of DyClO.

Computed properties:
Fermi-level density of states in states/eV per cell: 0.00
Symmetry: P4/nmm
Uncorrected energy in eV per cell: -41.3

a = 3.907 Å, b = 3.907 Å, c = 6.730 Å
α = 90.00°, β = 90.00°, γ = 90.00°
Positions (direct):
Dy 0.000 0.500 0.167
Dy 0.500 0.000 0.833
Cl 0.000 0.500 0.629
Cl 0.500 0.000 0.371
O 0.000 0.000 0.000
O 0.500 0.500 0.000

Entry 12:
DFT (PBE) results for an optimized crystal structure of Sc2AlSi2Pd5.

Computed properties:
Fermi-level density of states in states/eV per cell: 12.80
Symmetry: P4/mbm
Uncorrected energy in eV per cell: -122.1

a = 3.464 Å, b = 9.682 Å, c = 9.682 Å
α = 90.00°, β = 90.00°, γ = 90.00°
Positions (direct):
Sc 0.000 0.674 0.174
Sc 0.000 0.326 0.826
Sc 0.000 0.174 0.326
Sc 0.000 0.826 0.674
Al 0.000 0.000 0.000
Al 0.000 0.500 0.500
Si 0.000 0.129 0.629
Si 0.000 0.871 0.371
Si 0.000 0.629 0.871
Si 0.000 0.371 0.129
Pd 0.500 0.206 0.056
Pd 0.500 0.794 0.944
Pd 0.500 0.056 0.794
Pd 0.500 0.706 0.444
Pd 0.500 0.944 0.206
Pd 0.500 0.294 0.556
Pd 0.500 0.556 0.706
Pd 0.500 0.444 0.294
Pd 0.500 0.500 0.000
Pd 0.500 0.000 0.500